# Ho2WO6 | the Alexandria database | meta-GGA SCAN | PBEsol geometry
data_Ho2WO6
_space_group_name_H-M_alt 'P 21 21 21'
_space_group_IT_number 19
_cell_length_a 5.1782
_cell_length_b 8.9861
_cell_length_c 9.7900
_cell_angle_alpha 90.00
_cell_angle_beta 90.00
_cell_angle_gamma 90.00
loop_
_space_group_symop_operation_xyz
'x,y,z'
'-x+1/2,-y,z+1/2'
'x+1/2,-y+1/2,-z'
'-x,y+1/2,-z+1/2'
loop_
_atom_site_label
_atom_site_type_symbol
_atom_site_fract_x
_atom_site_fract_y
_atom_site_fract_z
_atom_site_occupancy
Ho1 Ho 0.0196 0.1026 0.4667 1
Ho2 Ho 0.0400 0.2197 0.8731 1
W1 W 0.0400 0.4954 0.3469 1
O1 O 0.0824 0.8427 0.0296 1
O2 O 0.1771 0.6370 0.8185 1
O3 O 0.1773 0.9532 0.2988 1
O4 O 0.1936 0.6420 0.2343 1
O5 O 0.2334 0.1139 0.0668 1
O6 O 0.2493 0.5912 0.4950 1
# energy relative to the lowest polymorph listed for this composition: 24 meV/atom
# spin magnetization: 0.000 μB/atom
# formation energy without anion corrections: -3.31 eV/atom
# crystal system: orthorhombic


# SiSnPS2 | the Alexandria database | meta-GGA SCAN | PBEsol geometry
data_SiSnPS2
_space_group_name_H-M_alt 'P 4/m m m'
_space_group_IT_number 123
_space_group_name_Hall '-P 4 2'
_cell_length_a 4.5194
_cell_length_b 4.5194
_cell_length_c 4.5574
_cell_angle_alpha 90.00
_cell_angle_beta 90.00
_cell_angle_gamma 90.00
loop_
_atom_site_label
_atom_site_type_symbol
_atom_site_fract_x
_atom_site_fract_y
_atom_site_fract_z
_atom_site_occupancy
Si1 Si 0.0000 0.0000 0.0000 1
Sn1 Sn 0.5000 0.5000 0.5000 1
P1 P 0.0000 0.0000 0.5000 1
S1 S 0.0000 0.5000 0.0000 1
# spin magnetization: 0.000 μB/atom
# formation energy without anion corrections: 0.21 eV/atom
# crystal system: tetragonal


# PtRhAu2 | the Alexandria database | meta-GGA SCAN | PBEsol geometry
data_PtRhAu2
_space_group_name_H-M_alt 'P 4 m m'
_space_group_IT_number 99
_cell_length_a 2.7870
_cell_length_b 2.7870
_cell_length_c 8.0236
_cell_angle_alpha 90.00
_cell_angle_beta 90.00
_cell_angle_gamma 90.00
loop_
_space_group_symop_operation_xyz
'x,y,z'
'-y,x,z'
'-x,-y,z'
'y,-x,z'
'-x,y,z'
'y,x,z'
'x,-y,z'
'-y,-x,z'
loop_
_atom_site_label
_atom_site_type_symbol
_atom_site_fract_x
_atom_site_fract_y
_atom_site_fract_z
_atom_site_occupancy
Pt1 Pt 0.0000 0.0000 0.0000 1
Rh1 Rh 0.5000 0.5000 0.2250 1
Au1 Au 0.0000 0.0000 0.4744 1
Au2 Au 0.5000 0.5000 0.7415 1
# DFT formation energy: 0.06 eV/atom
# energy relative to the lowest polymorph listed for this composition: 0 meV/atom
# spin magnetization: 0.344 μB/atom
# crystal system: tetragonal


# Sb2AuSe | the Alexandria database | meta-GGA SCAN | PBEsol geometry
data_Sb2AuSe
_space_group_name_H-M_alt 'P 4/m m m'
_space_group_IT_number 123
_space_group_name_Hall '-P 4 2'
_cell_length_a 4.0674
_cell_length_b 4.0674
_cell_length_c 5.6868
_cell_angle_alpha 90.00
_cell_angle_beta 90.00
_cell_angle_gamma 90.00
loop_
_atom_site_label
_atom_site_type_symbol
_atom_site_fract_x
_atom_site_fract_y
_atom_site_fract_z
_atom_site_occupancy
Sb1 Sb 0.0000 0.0000 0.0000 1
Sb2 Sb 0.5000 0.5000 0.5000 1
Au1 Au 0.0000 0.0000 0.5000 1
Se1 Se 0.5000 0.5000 0.0000 1
# spin magnetization: 0.000 μB/atom
# formation energy without anion corrections: -0.10 eV/atom
# crystal system: tetragonal


# ZnCuPdBr2 | the Alexandria database | meta-GGA SCAN | PBEsol geometry
data_ZnCuPdBr2
_space_group_name_H-M_alt 'P 4/m m m'
_space_group_IT_number 123
_space_group_name_Hall '-P 4 2'
_cell_length_a 4.9377
_cell_length_b 4.9377
_cell_length_c 4.6024
_cell_angle_alpha 90.00
_cell_angle_beta 90.00
_cell_angle_gamma 90.00
loop_
_atom_site_label
_atom_site_type_symbol
_atom_site_fract_x
_atom_site_fract_y
_atom_site_fract_z
_atom_site_occupancy
Zn1 Zn 0.0000 0.0000 0.0000 1
Cu1 Cu 0.0000 0.0000 0.5000 1
Pd1 Pd 0.5000 0.5000 0.5000 1
Br1 Br 0.0000 0.5000 0.0000 1
# spin magnetization: 0.106 μB/atom
# formation energy without anion corrections: 0.59 eV/atom
# crystal system: tetragonal


# BaNaY3 | the Alexandria database | meta-GGA SCAN | PBEsol geometry
data_BaNaY3
_space_group_name_H-M_alt 'P m -3 m'
_space_group_IT_number 221
_space_group_name_Hall '-P 4 2 3'
_cell_length_a 5.7293
_cell_length_b 5.7293
_cell_length_c 5.7293
_cell_angle_alpha 90.00
_cell_angle_beta 90.00
_cell_angle_gamma 90.00
loop_
_atom_site_label
_atom_site_type_symbol
_atom_site_fract_x
_atom_site_fract_y
_atom_site_fract_z
_atom_site_occupancy
Ba1 Ba 0.0000 0.0000 0.0000 1
Na1 Na 0.5000 0.5000 0.5000 1
Y1 Y 0.0000 0.5000 0.5000 1
# DFT formation energy: 0.67 eV/atom
# energy relative to the lowest polymorph listed for this composition: 0 meV/atom
# spin magnetization: 0.001 μB/atom
# crystal system: cubic


# KTaPd3 | the Alexandria database | meta-GGA SCAN | PBEsol geometry
data_KTaPd3
_space_group_name_H-M_alt 'P m -3 m'
_space_group_IT_number 221
_space_group_name_Hall '-P 4 2 3'
_cell_length_a 4.8908
_cell_length_b 4.8908
_cell_length_c 4.8908
_cell_angle_alpha 90.00
_cell_angle_beta 90.00
_cell_angle_gamma 90.00
loop_
_atom_site_label
_atom_site_type_symbol
_atom_site_fract_x
_atom_site_fract_y
_atom_site_fract_z
_atom_site_occupancy
K1 K 0.0000 0.0000 0.0000 1
Ta1 Ta 0.5000 0.5000 0.5000 1
Pd1 Pd 0.0000 0.5000 0.5000 1
# DFT formation energy: 0.56 eV/atom
# spin magnetization: 0.000 μB/atom
# crystal system: cubic


# BaNaSn2Br | the Alexandria database | meta-GGA SCAN | PBEsol geometry
data_BaNaSn2Br
_space_group_name_H-M_alt 'P 4/m m m'
_space_group_IT_number 123
_space_group_name_Hall '-P 4 2'
_cell_length_a 5.8032
_cell_length_b 5.8032
_cell_length_c 5.1968
_cell_angle_alpha 90.00
_cell_angle_beta 90.00
_cell_angle_gamma 90.00
loop_
_atom_site_label
_atom_site_type_symbol
_atom_site_fract_x
_atom_site_fract_y
_atom_site_fract_z
_atom_site_occupancy
Ba1 Ba 0.0000 0.0000 0.0000 1
Na1 Na 0.5000 0.5000 0.0000 1
Sn1 Sn 0.0000 0.5000 0.5000 1
Br1 Br 0.5000 0.5000 0.5000 1
# spin magnetization: 0.000 μB/atom
# formation energy without anion corrections: -0.24 eV/atom
# crystal system: tetragonal